# 1
RbCdBH2 GGA-PBE optimized geometry; electronic total energy = -1.79 eV/atom; spin magnetization = 1.2 μB per formula unit; D(E_F) = 2.72 states/eV per cell; calculated volume = 136 Å³ per cell; polymorph energy (0 for the lowest one) = 0.443 eV/atom
1.0
-2.098 2.234 2.638
0.058 -6.312 5.391
3.456 1.381 1.579
H B Cd Rb
2 1 1 1
Direct
0.000 0.000 0.500 H
0.500 0.000 0.000 H
0.500 0.500 0.500 B
0.000 0.000 0.000 Cd
0.000 0.500 0.000 Rb

# 2
ScCdB2H GGA-PBE optimized geometry; electronic total energy = -3.05 eV/atom; spin magnetization = 0.8 μB per formula unit; D(E_F) = 2.82 states/eV per cell; calculated volume = 95 Å³ per cell
1.0
-2.259 2.894 1.787
1.904 -1.655 5.088
3.114 2.623 -0.312
Sc Cd B H
1 1 2 1
Direct
0.000 0.500 0.000 Sc
0.000 0.000 0.000 Cd
0.500 0.000 0.000 B
0.000 0.000 0.500 B
0.500 0.500 0.500 H

# 3
CdBTe2H GGA-PBE optimized geometry; electronic total energy = -1.97 eV/atom; spin magnetization = 0.7 μB per formula unit; D(E_F) = 4.02 states/eV per cell; calculated volume = 144 Å³ per cell
1.0
5.782 0.000 0.000
0.000 4.295 0.000
0.000 0.000 5.782
H B Te Cd
1 1 2 1
Direct
0.500 0.500 0.500 H
0.000 0.500 0.000 B
0.500 0.000 0.000 Te
0.000 0.000 0.500 Te
0.000 0.000 0.000 Cd

# 4
ZnCd2BH GGA-PBE optimized geometry; electronic total energy = -2.07 eV/atom; spin magnetization = 0.0 μB per formula unit; D(E_F) = 0.76 states/eV per cell; calculated volume = 73 Å³ per cell
1.0
5.014 0.000 0.000
0.000 2.920 0.000
0.000 0.000 5.014
Cd B H Zn
2 1 1 1
Direct
0.000 0.000 0.500 Cd
0.500 0.000 0.000 Cd
0.000 0.000 0.000 B
0.000 0.500 0.000 H
0.500 0.500 0.500 Zn